Computed, not measured: a geometry-optimized NaW3F structure at the PBE+U level of DFT.

## Properties
DFT total energy   -1.56 eV/atom
Density   9.85 g cm⁻³
Excess energy over the best structure of this formula in the dataset   1.722 eV per atom

Structure (CIF):
```
data_NaW3F
_chemical_formula_sum 'Na1 W3 F1'
_symmetry_space_group_name_H-M 'P m -3 m'
_symmetry_Int_Tables_number 221
_symmetry_space_group_name_Hall '-P 4 2 3'
_cell_length_a 4.642
_cell_length_b 4.642
_cell_length_c 4.642
_cell_angle_alpha 90.00
_cell_angle_beta 90.00
_cell_angle_gamma 90.00
loop_
_atom_site_label
_atom_site_type_symbol
_atom_site_fract_x
_atom_site_fract_y
_atom_site_fract_z
Na1 Na 0.000 0.000 0.000
W1 W 0.000 0.000 0.500
F1 F 0.500 0.500 0.500
```